1.
Here is crystalline Na2RuW at its relaxed geometry from Alexandria. Energies are from GGA-PBE.

Cell and atoms, written as POSCAR:
```
Na2RuW
1.0
0.000 3.326 3.326
3.326 0.000 3.326
3.326 3.326 0.000
Ru Na W
1 2 1
Direct
0.000 0.000 0.000 Ru
0.250 0.250 0.250 Na
0.750 0.750 0.750 Na
0.500 0.500 0.500 W
```

relative energy among the computed polymorphs	0.286	eV per atom

***

2.
Here is crystalline LiHPtRh2 at its relaxed geometry from Alexandria. Energies are from GGA-PBE.

Cell and atoms, written as POSCAR:
```
LiHPtRh2
1.0
3.876 0.000 0.000
0.000 3.876 0.000
0.000 0.000 3.938
Pt Rh H Li
1 2 1 1
Direct
0.000 0.000 0.500 Pt
0.500 0.000 0.000 Rh
0.000 0.500 0.000 Rh
0.000 0.000 0.000 H
0.500 0.500 0.500 Li
```

relative energy among the computed polymorphs	0.070	eV per atom

***

3.
Here is crystalline ZrMoP at its relaxed geometry from Alexandria. Energies are from GGA-PBE.

Cell and atoms, written as POSCAR:
```
ZrMoP
1.0
0.000 3.059 3.059
3.059 0.000 3.059
3.059 3.059 0.000
Mo P Zr
1 1 1
Direct
0.750 0.750 0.750 Mo
0.000 0.000 0.000 P
0.500 0.500 0.500 Zr
```

relative energy among the computed polymorphs	1.220	eV per atom

***

4.
Here is crystalline CaFe12Sb4 at its relaxed geometry from Alexandria. Energies are from GGA-PBE.

Cell and atoms, written as POSCAR:
```
CaFe12Sb4
1.0
-5.740 4.174 1.899
1.883 -4.295 5.655
5.673 4.308 -1.798
Fe Sb Ca
12 4 1
Direct
0.493 0.631 0.863 Fe
0.137 0.768 0.631 Fe
0.863 0.493 0.631 Fe
0.369 0.137 0.507 Fe
0.507 0.369 0.137 Fe
0.137 0.507 0.369 Fe
0.232 0.369 0.863 Fe
0.863 0.232 0.369 Fe
0.631 0.137 0.768 Fe
0.631 0.863 0.493 Fe
0.369 0.863 0.232 Fe
0.768 0.631 0.137 Fe
0.500 0.500 0.500 Sb
0.500 0.000 0.000 Sb
0.000 0.500 0.000 Sb
0.000 0.000 0.500 Sb
0.000 0.000 0.000 Ca
```

formation energy from raw total energies	0.6396	eV/atom

***

5.
Here is crystalline Ho2AgHg5 at its relaxed geometry from Alexandria. Energies are from GGA-PBE.

Cell and atoms, written as POSCAR:
```
Ho2AgHg5
1.0
0.189 -3.928 -2.625
3.761 -0.833 -2.742
6.062 -6.758 6.291
Ho Hg Ag
2 5 1
Direct
0.906 0.906 0.282 Ho
0.094 0.094 0.718 Ho
0.628 0.628 0.117 Hg
0.798 0.798 0.606 Hg
0.372 0.372 0.883 Hg
0.500 0.500 0.500 Hg
0.202 0.202 0.394 Hg
0.000 0.000 0.000 Ag
```

relative energy among the computed polymorphs	0.064	eV per atom

***

6.
Here is crystalline GeBi3Pd3 at its relaxed geometry from Alexandria. Energies are from GGA-PBE.

Cell and atoms, written as POSCAR:
```
GeBi3Pd3
1.0
-5.898 4.302 0.131
-0.210 -6.534 3.252
3.353 3.264 5.220
Bi Pd Ge
6 6 2
Direct
0.182 0.818 0.500 Bi
0.764 0.236 0.000 Bi
0.236 0.764 0.000 Bi
0.668 0.668 0.381 Bi
0.332 0.332 0.619 Bi
0.818 0.182 0.500 Bi
0.470 0.177 0.276 Pd
0.823 0.530 0.724 Pd
0.177 0.470 0.276 Pd
0.989 0.989 0.788 Pd
0.011 0.011 0.212 Pd
0.530 0.823 0.724 Pd
0.712 0.712 0.963 Ge
0.288 0.288 0.037 Ge
```

electronic total energy	-4.76	eV/atom

***

7.
Here is crystalline Dy3ZnGa12 at its relaxed geometry from Alexandria. Energies are from GGA-PBE.

Cell and atoms, written as POSCAR:
```
Dy3ZnGa12
1.0
-2.833 -2.868 1.345
1.469 0.409 3.967
-11.164 12.368 2.858
Ga Zn Dy
12 1 3
Direct
0.500 0.000 0.888 Ga
0.000 0.500 0.372 Ga
0.500 0.000 0.112 Ga
0.000 0.500 0.628 Ga
0.500 0.500 0.000 Ga
0.000 0.500 0.888 Ga
0.500 0.500 0.500 Ga
0.500 0.000 0.628 Ga
0.500 0.000 0.372 Ga
0.500 0.500 0.255 Ga
0.500 0.500 0.745 Ga
0.000 0.500 0.112 Ga
0.000 0.000 0.000 Zn
0.000 0.000 0.500 Dy
0.000 0.000 0.757 Dy
0.000 0.000 0.243 Dy
```

electronic total energy	-3.59	eV/atom

***

8.
Here is crystalline Nd4Sm6Dy at its relaxed geometry from Alexandria. Energies are from GGA-PBE.

Cell and atoms, written as POSCAR:
```
Nd4Sm6Dy
1.0
7.654 0.000 0.000
0.000 7.654 0.000
-3.827 -3.827 6.774
Dy Sm Nd
1 6 4
Direct
0.500 0.500 0.000 Dy
0.500 0.000 0.000 Sm
0.085 0.085 0.627 Sm
0.000 0.500 0.000 Sm
0.915 0.458 0.373 Sm
0.542 0.542 0.627 Sm
0.458 0.915 0.373 Sm
0.253 0.253 0.158 Nd
0.094 0.747 0.842 Nd
0.747 0.094 0.842 Nd
0.906 0.906 0.158 Nd
```

relative energy among the computed polymorphs	0.026	eV per atom

***

Number 1: density of states at the Fermi level 4.33 states/eV per cell, theoretical density 7.5 g/cm3. Number 2: density of states at the Fermi level 4.09 states/eV per cell, theoretical density 11.5 g/cm3. Number 3: density of states at the Fermi level 3.76 states/eV per cell, theoretical density 6.3 g/cm3. Number 4: density of states at the Fermi level 12.72 states/eV per cell, theoretical density 6.5 g/cm3. Number 5: density of states at the Fermi level 3.40 states/eV per cell, theoretical density 11.5 g/cm3. Number 6: density of states at the Fermi level 4.58 states/eV per cell, theoretical density 10.6 g/cm3. Number 7: density of states at the Fermi level 4.35 states/eV per cell, theoretical density 7.6 g/cm3. Number 8: density of states at the Fermi level 13.13 states/eV per cell, theoretical density 6.9 g/cm3.